Here is an optimized crystal structure of SrLa2Te4 from Alexandria. Energies are from PBE.

```
SrLa2Te4
1.0
2.294 -7.554 0.000
2.294 7.554 0.000
0.000 0.000 15.625
Sr La Te
2 4 8
Direct
0.114 0.886 0.750 Sr
0.886 0.114 0.250 Sr
0.366 0.634 0.570 La
0.366 0.634 0.930 La
0.634 0.366 0.070 La
0.634 0.366 0.430 La
0.000 0.000 0.000 Te
0.000 0.000 0.500 Te
0.274 0.726 0.120 Te
0.274 0.726 0.380 Te
0.459 0.541 0.750 Te
0.541 0.459 0.250 Te
0.726 0.274 0.620 Te
0.726 0.274 0.880 Te
```

## Properties
- energy above the most stable polymorph in this dataset (meV/atom) = 3.1
- calculated total energy (eV for the cell shown) = -70.50
- calculated volume (Å³/atom) = 38.68
- calculated density (g/cm³) = 5.37
- M_tot (Bohr magnetons per cell) = 0.00
- raw formation energy (eV/atom) = -1.592